Cr2AsW | PBE | relaxed

Cell and atoms, written as extended XYZ:
```
4
Lattice="-0.8189 -2.6158 0.2634 1.8475 0.2022 -2.0317 5.8011 -1.2980 5.1459" Properties=species:S:1:pos:R:3 pbc="T T T"
As 4.9608 -2.2017 3.0602
Cr 0.0471 -0.0105 0.0418
Cr 1.8711 -1.5104 0.3194
W 2.8512 -0.6380 2.5291
```

ΔE_f   0.37 eV per atom
SG   Cmm2 (35)
Final energy   -0.325 Ha/atom